[1]
3
Lattice="-0.7491 -1.7342 -3.4063 -0.7656 -1.8536 3.3391 -4.6446 1.9604 0.0233" Properties=species:S:1:pos:R:3 comment="SrCoMo, PBEsol geometry, DFT meta-GGA SCAN" formation_energy_ev_per_fu=2.0 mass_density_g_cm3=6.1 dft_energy_ev_per_cell=-72.431 pbc="T T T"
Co 0.0000 0.0000 0.0000
Mo -0.7601 -1.8138 1.0906
Sr -3.0769 -0.7938 -1.1462

=====

[2]
12
Lattice="-1.5727 -2.5560 -3.5533 -2.2632 -0.0244 4.0632 -4.2449 5.8499 -2.3293" Properties=species:S:1:pos:R:3 comment="TaCo4Mo, PBEsol geometry, DFT meta-GGA SCAN" formation_energy_ev_per_fu=0.1 mass_density_g_cm3=12.0 dft_energy_ev_per_cell=-341.253 pbc="T T T"
Ta -2.3581 -0.4203 1.3460
Ta -5.7227 3.6898 -3.1654
Co -2.1225 2.9249 -1.1647
Co 0.0000 0.0000 0.0000
Co -4.2071 3.9439 -0.9750
Co -5.3271 3.9319 1.0358
Co -6.1053 2.6669 -0.7227
Co -3.8737 -0.6745 -0.8443
Co -2.7537 -0.6624 -2.8551
Co -1.9754 0.6025 -1.0967
Mo -4.1595 1.5355 -2.3076
Mo -3.9213 1.7339 0.4882

=====

[3]
4
Lattice="2.7440 0.0000 0.0000 1.3720 2.3763 0.0000 1.3720 0.7921 9.1122" Properties=species:S:1:pos:R:3 comment="TaCoMo2, PBEsol geometry, DFT meta-GGA SCAN" formation_energy_ev_per_fu=1.5 mass_density_g_cm3=12.1 dft_energy_ev_per_cell=-152.109 pbc="T T T"
Mo 4.1159 2.3763 0.2035
Mo 4.1159 2.3763 6.8835
Co 1.3720 0.7921 2.2178
Ta 2.7440 1.5842 4.3634